1.
# LiHIr2 (PBE, relaxed)
data_LiHIr2
_symmetry_space_group_name_H-M 'F m -3 m'
_symmetry_Int_Tables_number 225
_symmetry_space_group_name_Hall '-F 4 2 3'
_cell_length_a 5.543
_cell_length_b 5.543
_cell_length_c 5.543
_cell_angle_alpha 90.00
_cell_angle_beta 90.00
_cell_angle_gamma 90.00
loop_
_atom_site_label
_atom_site_type_symbol
_atom_site_fract_x
_atom_site_fract_y
_atom_site_fract_z
Li1 Li 0.000 0.000 0.000
H1 H 0.000 0.000 0.500
Ir1 Ir 0.250 0.250 0.250
# electronic total energy	-5.159	eV/atom


2.
# LaGa2Ir (PBE, relaxed)
data_LaGa2Ir
_symmetry_space_group_name_H-M 'P n m a'
_symmetry_Int_Tables_number 62
_cell_length_a 15.828
_cell_length_b 6.902
_cell_length_c 5.956
_cell_angle_alpha 90.00
_cell_angle_beta 90.00
_cell_angle_gamma 90.00
loop_
_symmetry_equiv_pos_as_xyz
'x,y,z'
'-x,-y,-z'
'-x+1/2,-y,z+1/2'
'x+1/2,y,-z+1/2'
'x+1/2,-y+1/2,-z+1/2'
'-x+1/2,y+1/2,z+1/2'
'-x,y+1/2,-z'
'x,-y+1/2,z'
loop_
_atom_site_label
_atom_site_type_symbol
_atom_site_fract_x
_atom_site_fract_y
_atom_site_fract_z
La1 La 0.100 0.250 0.224
La2 La 0.144 0.750 0.457
Ga1 Ga 0.044 0.058 0.740
Ga2 Ga 0.206 0.557 0.936
Ir1 Ir 0.065 0.750 0.003
Ir2 Ir 0.188 0.250 0.689
# ΔH_f (0 K)	-2.9	eV/f.u.
# electronic total energy	-5.676	eV/atom


Q: electronic total energy of number 1 (LiHIr2)?
A: -5.159 eV/atom


Q: Which value of electronic total energy does entry 1 give?
A: -5.159 eV/atom


Q: electronic total energy of number 2 (LaGa2Ir)?
A: -5.676 eV/atom


Copy entry 1 word for word.
# LiHIr2 (PBE, relaxed)
data_LiHIr2
_symmetry_space_group_name_H-M 'F m -3 m'
_symmetry_Int_Tables_number 225
_symmetry_space_group_name_Hall '-F 4 2 3'
_cell_length_a 5.543
_cell_length_b 5.543
_cell_length_c 5.543
_cell_angle_alpha 90.00
_cell_angle_beta 90.00
_cell_angle_gamma 90.00
loop_
_atom_site_label
_atom_site_type_symbol
_atom_site_fract_x
_atom_site_fract_y
_atom_site_fract_z
Li1 Li 0.000 0.000 0.000
H1 H 0.000 0.000 0.500
Ir1 Ir 0.250 0.250 0.250
# electronic total energy	-5.159	eV/atom